No. 1
Here is Sc4InCu2Rh after structural relaxation from the Alexandria database. Energies are from PBE.

Cell: 8.177 8.177 8.177 Å, 33.57 33.57 33.57°
Element x y z (fractional)
Sc 0.116 0.116 0.116
Sc 0.369 0.369 0.369
Sc 0.631 0.631 0.631
Sc 0.884 0.884 0.884
In 0.500 0.500 0.500
Cu 0.243 0.243 0.243
Cu 0.757 0.757 0.757
Rh 0.000 0.000 0.000

Output
Size of the total moment in μB per cell: 0.000
SG: R-3m, No. 166
E_tot in eV/atom: -5.949


No. 2
Here is Sc4InCuRh2 after structural relaxation from the Alexandria database. Energies are from PBE.

Cell: 8.180 8.180 8.180 Å, 33.37 33.37 33.37°
Element x y z (fractional)
Sc 0.118 0.118 0.118
Sc 0.370 0.370 0.370
Sc 0.630 0.630 0.630
Sc 0.882 0.882 0.882
In 0.500 0.500 0.500
Cu 0.000 0.000 0.000
Rh 0.249 0.249 0.249
Rh 0.751 0.751 0.751

Output
Size of the total moment in μB per cell: 0.000
SG: R-3m, No. 166
E_tot in eV/atom: -6.492


Number 1: DFT formation energy -498 meV/atom. Number 2: DFT formation energy -634 meV/atom.